No. 1
Li2La2Bi, single point on PBEsol structure, DFT meta-GGA SCAN; space group = P4/mbm (127); DFT formation energy = -0.427 eV per atom
1.0
7.133 0.000 0.000
0.000 7.133 0.000
0.000 0.000 4.971
Li La Bi
4 4 2
direct
0.134 0.366 0.000
0.366 0.866 0.000
0.634 0.134 0.000
0.866 0.634 0.000
0.169 0.669 0.500
0.331 0.169 0.500
0.669 0.831 0.500
0.831 0.331 0.500
0.000 0.000 0.000
0.500 0.500 0.000

=====

No. 2
Fe3OF5, single point on PBEsol structure, DFT meta-GGA SCAN; space group = C2/m (12); DFT total energy = -10.8062 eV per atom
1.0
4.395 -3.438 0.000
4.395 3.438 0.000
-2.899 0.000 6.468
Fe O F
6 2 10
direct
0.000 0.000 0.000
0.000 0.000 0.500
0.349 0.349 0.348
0.359 0.359 0.866
0.641 0.641 0.134
0.651 0.651 0.652
0.434 0.434 0.153
0.566 0.566 0.847
0.034 0.654 0.834
0.102 0.102 0.806
0.232 0.232 0.545
0.272 0.728 0.500
0.346 0.966 0.166
0.654 0.034 0.834
0.728 0.272 0.500
0.768 0.768 0.455
0.898 0.898 0.194
0.966 0.346 0.166

=====

No. 3
CuAs2Ir, single point on PBEsol structure, DFT meta-GGA SCAN; space group = F-43m (216); DFT formation energy = 0.462 eV per atom
1.0
6.196 0.000 0.000
0.000 6.196 0.000
0.000 0.000 6.196
Cu As Ir
4 8 4
direct
0.000 0.000 0.000
0.000 0.500 0.500
0.500 0.000 0.500
0.500 0.500 0.000
0.000 0.000 0.500
0.000 0.500 0.000
0.250 0.250 0.750
0.250 0.750 0.250
0.500 0.000 0.000
0.500 0.500 0.500
0.750 0.250 0.250
0.750 0.750 0.750
0.250 0.250 0.250
0.250 0.750 0.750
0.750 0.250 0.750
0.750 0.750 0.250

=====

No. 4
Sc2AlIr, single point on PBEsol structure, DFT meta-GGA SCAN; space group = R-3m (166); DFT formation energy = -0.085 eV per atom
1.0
3.104 0.000 0.000
-1.552 2.688 0.000
0.000 0.000 28.984
Sc Al Ir
6 3 3
direct
0.000 0.000 0.099
0.000 0.000 0.901
0.333 0.667 0.568
0.333 0.667 0.766
0.667 0.333 0.234
0.667 0.333 0.432
0.000 0.000 0.000
0.333 0.667 0.667
0.667 0.333 0.333
0.000 0.000 0.500
0.333 0.667 0.167
0.667 0.333 0.833

=====

No. 5
NbAlCoOs2, single point on PBEsol structure, DFT meta-GGA SCAN; space group = P4/mmm (123); DFT formation energy = 0.941 eV per atom
1.0
4.378 0.000 0.000
0.000 4.378 0.000
0.000 0.000 4.043
Nb Al Co Os
1 1 1 2
direct
0.000 0.000 0.000
0.500 0.500 0.500
0.500 0.500 0.000
0.000 0.500 0.500
0.500 0.000 0.500

=====

No. 6
MgAlP3, single point on PBEsol structure, DFT meta-GGA SCAN; space group = Pm-3m (221); DFT formation energy = 0.511 eV per atom
1.0
4.623 0.000 0.000
0.000 4.623 0.000
0.000 0.000 4.623
Mg Al P
1 1 3
direct
0.000 0.000 0.000
0.500 0.500 0.500
0.000 0.500 0.500
0.500 0.000 0.500
0.500 0.500 0.000

=====

No. 7
InSiTc2, single point on PBEsol structure, DFT meta-GGA SCAN; space group = F-43m (216); DFT total energy = -27.9271 eV per atom
1.0
6.239 0.000 0.000
0.000 6.239 0.000
0.000 0.000 6.239
In Si Tc
4 4 8
direct
0.000 0.000 0.000
0.000 0.500 0.500
0.500 0.000 0.500
0.500 0.500 0.000
0.250 0.250 0.750
0.250 0.750 0.250
0.750 0.250 0.250
0.750 0.750 0.750
0.000 0.000 0.500
0.000 0.500 0.000
0.250 0.250 0.250
0.250 0.750 0.750
0.500 0.000 0.000
0.500 0.500 0.500
0.750 0.250 0.750
0.750 0.750 0.250

=====

No. 8
La2AsP, single point on PBEsol structure, DFT meta-GGA SCAN; space group = P4/mmm (123); DFT formation energy = -1.783 eV per atom
1.0
4.274 0.000 0.000
0.000 4.274 0.000
0.000 0.000 6.041
La As P
2 1 1
direct
0.000 0.000 0.000
0.500 0.500 0.500
0.000 0.000 0.500
0.500 0.500 0.000

=====

Q: Number 7 is which compound?
A: InSiTc2